Compound: Pr6TlSn2Te3
Source: the Alexandria database
Functional: PBE
Structure: relaxed

The calculation puts the energy relative to the elements, uncorrected at -1.044 eV per atom. The space-group type is C2/m, No. 12.

Geometry as POSCAR:
```
Pr6TlSn2Te3
1.0
-3.811 1.254 -2.097
-4.445 -7.072 3.849
0.902 7.029 7.449
Pr Te Sn Tl
6 3 2 1
Direct
0.667 0.086 0.334
0.331 0.424 0.662
0.669 0.576 0.338
0.000 0.253 0.000
0.333 0.914 0.666
0.000 0.747 0.000
0.833 0.169 0.665
0.167 0.831 0.335
0.500 0.500 0.000
0.835 0.671 0.670
0.165 0.329 0.330
0.500 0.000 0.000
```